# 1
Si4Tc5 PBE relaxed; SG = I4/mmm (139); total energy = -8.10 eV per atom; formation energy without anion corrections = 7 kJ/mol of atoms
1.0
5.304 3.393 -2.248
-4.679 -1.457 4.548
3.646 -5.399 1.503
Tc Si
5 4
direct
0.663 0.663 0.326
0.337 0.337 0.674
0.663 0.337 0.000
0.000 0.000 0.000
0.337 0.663 0.000
0.688 0.000 0.688
0.000 0.312 0.312
0.312 0.000 0.312
0.000 0.688 0.688



# 2
KAl4Zn PBE relaxed; SG = F-43m (216); total energy = -2.62 eV per atom
1.0
-3.185 2.188 4.155
-5.054 2.281 -1.201
-4.758 -2.636 1.615
Zn Al K
1 4 1
direct
0.000 0.000 0.000
0.375 0.375 0.375
0.375 0.375 0.874
0.874 0.375 0.375
0.375 0.874 0.375
0.750 0.750 0.750



# 3
Li2CaCd PBE relaxed; SG = Fm-3m (225); total energy = -1.84 eV per atom
1.0
0.000 3.578 3.578
3.578 0.000 3.578
3.578 3.578 0.000
Ca Li Cd
1 2 1
direct
0.000 0.000 0.000
0.750 0.750 0.750
0.250 0.250 0.250
0.500 0.500 0.500



# 4
Cd5Ag3I12 PBE relaxed; SG = Ia-3d (230); total energy = -1.88 eV per atom; formation energy without anion corrections = -28 kJ/mol of atoms
1.0
-14.490 4.721 4.526
-0.385 -4.381 -15.278
4.589 -12.324 8.932
I Cd Ag
48 20 12
direct
0.541 0.218 0.126
0.718 0.126 0.041
0.959 0.586 0.177
0.282 0.408 0.823
0.586 0.626 0.408
0.374 0.414 0.092
0.459 0.782 0.874
0.908 0.086 0.626
0.908 0.823 0.782
0.408 0.282 0.323
0.408 0.126 0.586
0.414 0.041 0.323
0.086 0.908 0.126
0.126 0.718 0.541
0.914 0.092 0.874
0.592 0.718 0.677
0.323 0.541 0.414
0.677 0.459 0.586
0.041 0.414 0.823
0.959 0.374 0.282
0.041 0.626 0.718
0.218 0.677 0.092
0.823 0.908 0.282
0.374 0.959 0.782
0.126 0.408 0.086
0.086 0.177 0.459
0.677 0.218 0.592
0.823 0.914 0.041
0.874 0.592 0.914
0.177 0.086 0.959
0.586 0.959 0.677
0.541 0.323 0.914
0.914 0.823 0.541
0.323 0.782 0.408
0.459 0.677 0.086
0.414 0.374 0.592
0.177 0.092 0.718
0.782 0.459 0.374
0.282 0.874 0.959
0.218 0.541 0.626
0.092 0.177 0.218
0.626 0.586 0.908
0.874 0.282 0.459
0.718 0.592 0.177
0.626 0.041 0.218
0.092 0.914 0.374
0.592 0.874 0.414
0.782 0.323 0.908
0.000 0.000 0.000
0.500 0.000 0.000
0.375 0.125 0.750
0.875 0.250 0.625
0.875 0.625 0.750
0.500 0.500 0.500
0.625 0.875 0.250
0.625 0.750 0.875
0.125 0.750 0.375
0.750 0.125 0.875
0.375 0.250 0.125
0.750 0.625 0.375
0.500 0.000 0.500
0.250 0.875 0.125
0.000 0.000 0.500
0.000 0.500 0.000
0.000 0.500 0.500
0.125 0.375 0.250
0.500 0.500 0.000
0.250 0.375 0.625
0.750 0.875 0.625
0.375 0.625 0.250
0.250 0.125 0.375
0.375 0.750 0.625
0.625 0.250 0.375
0.875 0.125 0.250
0.250 0.625 0.875
0.875 0.750 0.125
0.125 0.875 0.750
0.625 0.375 0.750
0.750 0.375 0.125
0.125 0.250 0.875